The following is a PBEsol calculation of a relaxed TcP2Pb crystal, from the Alexandria database.

Calculated values
- formation enthalpy at 0 K (eV/atom) = 0.3339
- energy (eV per cell) = -25.51

abc: 2.942 5.644 5.644
angles: 59.83 74.89 74.89
Last column: magnetic moment on the atom in μB.
Sites, in units of the cell vectors:
1 Tc 0.000 0.500 0.500  0.40
2 Pb 0.500 0.000 0.000  0.00
3 P 0.696 0.304 0.304  -0.01
4 P 0.304 0.696 0.696  -0.01

***

The following is a PBEsol calculation of a relaxed K2MoI4O14 crystal, from the Alexandria database.

Calculated values
- raw formation energy (eV per formula unit) = -20.29
- energy (eV per cell) = -229.77

abc: 6.144 6.958 17.465
angles: 100.89 90.00 116.20
Sites, in units of the cell vectors:
1 O 0.168 0.951 0.141
2 Mo 0.883 0.000 0.750
3 O 0.217 0.049 0.359
4 O 0.832 0.049 0.859
5 O 0.490 0.775 0.757
6 I 0.320 0.565 0.180
7 I 0.525 0.926 0.907
8 O 0.252 0.741 0.613
9 O 0.608 0.885 0.502
10 O 0.417 0.439 0.627
11 O 0.944 0.778 0.742
12 O 0.510 0.225 0.243
13 Mo 0.117 0.000 0.250
14 O 0.783 0.951 0.641
15 O 0.276 0.885 0.002
16 O 0.875 0.315 0.582
17 O 0.978 0.561 0.873
18 O 0.724 0.115 0.998
19 O 0.166 0.222 0.758
20 O 0.560 0.685 0.918
21 O 0.715 0.225 0.743
22 K 0.178 0.366 0.966
23 O 0.056 0.222 0.258
24 O 0.748 0.259 0.387
25 O 0.022 0.439 0.127
26 K 0.812 0.634 0.534
27 O 0.834 0.778 0.242
28 I 0.475 0.074 0.093
29 K 0.822 0.634 0.034
30 O 0.440 0.315 0.082
31 O 0.489 0.741 0.113
32 O 0.511 0.259 0.887
33 O 0.392 0.115 0.498
34 K 0.188 0.366 0.466
35 I 0.246 0.565 0.680
36 O 0.125 0.685 0.418
37 I 0.680 0.435 0.820
38 I 0.401 0.926 0.407
39 I 0.599 0.074 0.593
40 I 0.754 0.435 0.320
41 O 0.583 0.561 0.373
42 O 0.285 0.775 0.257

***

The following is a PBEsol calculation of a relaxed TaCrNi crystal, from the Alexandria database.

Calculated values
- energy relative to the lowest polymorph listed for this composition (eV/atom) = 0.000
- formation enthalpy at 0 K (eV/atom) = -0.1738
- energy (eV per cell) = -117.89

abc: 4.729 4.838 7.766
angles: 90.00 90.00 119.26
Sites, in units of the cell vectors:
1 Ni 0.830 0.659 0.500
2 Cr 0.998 0.997 0.249
3 Ni 0.830 0.164 0.500
4 Ta 0.335 0.671 0.688
5 Ni 0.335 0.164 0.500
6 Cr 0.667 0.836 0.000
7 Ni 0.175 0.350 0.000
8 Ta 0.335 0.671 0.312
9 Ta 0.664 0.328 0.811
10 Cr 0.168 0.836 0.000
11 Ta 0.664 0.328 0.189
12 Cr 0.998 0.997 0.751

***

The following is a PBEsol calculation of a relaxed CaAgRh crystal, from the Alexandria database.

Calculated values
- formation enthalpy at 0 K (eV/atom) = 0.2467
- energy (eV per cell) = -12.84

abc: 3.052 3.052 6.861
angles: 90.00 90.00 120.00
Sites, in units of the cell vectors:
1 Rh 0.667 0.333 0.338
2 Ca 0.333 0.667 0.643
3 Ag 0.000 0.000 0.019

***

The following is a PBEsol calculation of a relaxed CeSi2Ni9 crystal, from the Alexandria database.

Calculated values
- raw formation energy (eV per formula unit) = -6.13
- energy (eV per cell) = -159.28

abc: 6.103 7.481 7.481
angles: 80.42 65.93 65.93
Sites, in units of the cell vectors:
1 Ce 0.500 0.000 0.000
2 Ni 0.013 0.673 0.921
3 Ni 0.436 0.421 0.827
4 Ni 0.607 0.079 0.327
5 Ni 0.013 0.921 0.673
6 Ce 0.250 0.500 0.500
7 Ni 0.314 0.673 0.079
8 Ni 0.066 0.921 0.327
9 Ni 0.684 0.173 0.579
10 Ni 0.143 0.173 0.421
11 Si 0.875 0.750 0.250
12 Ni 0.143 0.421 0.173
13 Si 0.875 0.250 0.750
14 Ni 0.314 0.079 0.673
15 Si 0.375 0.750 0.750
16 Ni 0.607 0.327 0.079
17 Ni 0.737 0.579 0.827
18 Ni 0.737 0.827 0.579
19 Ni 0.000 0.000 0.000
20 Ni 0.684 0.579 0.173
21 Ni 0.066 0.327 0.921
22 Ni 0.436 0.827 0.421
23 Si 0.875 0.250 0.250
24 Ni 0.750 0.500 0.500

***

The following is a PBEsol calculation of a relaxed PtPb2 crystal, from the Alexandria database.

Calculated values
- formation enthalpy at 0 K (eV/atom) = -0.0805
- energy (eV per cell) = -15.20

abc: 3.366 3.366 6.754
angles: 104.43 104.43 90.00
Sites, in units of the cell vectors:
1 Pt 0.000 0.000 0.000
2 Pb 0.636 0.636 0.272
3 Pb 0.364 0.364 0.728

***

The following is a PBEsol calculation of a relaxed Ag2W2O7 crystal, from the Alexandria database.

Calculated values
- raw formation energy (eV per formula unit) = -16.94
- energy (eV per cell) = -175.85

abc: 6.045 7.039 7.491
angles: 72.14 85.46 76.67
Sites, in units of the cell vectors:
1 W 0.267 0.252 0.778
2 Ag 0.714 0.339 0.039
3 O 0.610 0.639 0.506
4 W 0.276 0.707 0.454
5 O 0.390 0.361 0.494
6 O 0.663 0.011 0.200
7 O 0.227 0.965 0.435
8 O 0.337 0.989 0.800
9 O 0.425 0.718 0.201
10 O 0.984 0.312 0.653
11 W 0.733 0.748 0.222
12 O 0.575 0.282 0.799
13 O 0.795 0.409 0.297
14 O 0.846 0.737 0.996
15 Ag 0.717 0.716 0.746
16 W 0.724 0.293 0.546
17 O 0.016 0.688 0.347
18 Ag 0.283 0.284 0.254
19 O 0.205 0.591 0.703
20 Ag 0.286 0.661 0.961
21 O 0.773 0.035 0.565
22 O 0.154 0.263 0.004

***

The following is a PBEsol calculation of a relaxed FeTc2H2 crystal, from the Alexandria database.

Calculated values
- energy (eV per cell) = -37.49

abc: 2.909 2.909 5.653
angles: 104.91 104.91 90.00
Last column: magnetic moment on the atom in μB.
Sites, in units of the cell vectors:
1 H 0.250 0.750 0.500  0.00
2 Tc 0.360 0.360 0.720  -0.02
3 H 0.750 0.250 0.500  0.00
4 Tc 0.640 0.640 0.280  -0.02
5 Fe 0.000 0.000 0.000  2.15

***

The following is a PBEsol calculation of a relaxed BaBePt crystal, from the Alexandria database.

Calculated values
- energy relative to the lowest polymorph listed for this composition (eV/atom) = 0.000
- formation enthalpy at 0 K (eV/atom) = -0.4313
- energy (eV per cell) = -14.41

abc: 3.996 3.996 4.863
angles: 90.00 90.00 120.00
Sites, in units of the cell vectors:
1 Pt 0.667 0.333 0.000
2 Be 0.333 0.667 0.000
3 Ba 0.000 0.000 0.500

***

The following is a PBEsol calculation of a relaxed Cs2NaInBr6 crystal, from the Alexandria database.

Calculated values
- raw formation energy (eV per formula unit) = -13.87
- energy (eV per cell) = -31.36

abc: 7.822 7.822 7.822
angles: 60.00 60.00 60.00
Sites, in units of the cell vectors:
1 Cs 0.750 0.750 0.750
2 Br 0.741 0.259 0.741
3 Br 0.741 0.741 0.259
4 Cs 0.250 0.250 0.250
5 Br 0.741 0.259 0.259
6 Br 0.259 0.741 0.259
7 Na 0.000 0.000 0.000
8 Br 0.259 0.741 0.741
9 Br 0.259 0.259 0.741
10 In 0.500 0.500 0.500

***

The following is a PBEsol calculation of a relaxed FeGeB2Ir crystal, from the Alexandria database.

Calculated values
- formation enthalpy at 0 K (eV/atom) = 1.8632
- energy (eV per cell) = -28.44

abc: 3.896 3.896 4.440
angles: 90.00 90.00 90.00
Last column: magnetic moment on the atom in μB.
Sites, in units of the cell vectors:
1 Ir 0.500 0.500 0.500  0.57
2 B 0.500 0.000 0.000  0.04
3 Fe 0.000 0.000 0.500  2.69
4 B 0.000 0.500 0.000  0.04
5 Ge 0.000 0.000 0.000  -0.02

***

The following is a PBEsol calculation of a relaxed Li2AgF3 crystal, from the Alexandria database.

Calculated values
- energy relative to the lowest polymorph listed for this composition (eV/atom) = 0.000
- raw formation energy (eV per formula unit) = -13.61
- energy (eV per cell) = -26.64

abc: 2.895 2.895 8.106
angles: 90.00 90.00 120.00
Sites, in units of the cell vectors:
1 F 0.000 0.000 0.500
2 F 0.667 0.333 0.777
3 Ag 0.000 0.000 0.000
4 F 0.333 0.667 0.223
5 Li 0.667 0.333 0.358
6 Li 0.333 0.667 0.642

***

no.,volume (Å³/cell)
1,77.3
2,654.9
3,155.0
4,55.4
5,284.8
6,71.6
7,295.2
8,44.6
9,67.2
10,338.4
11,67.4
12,58.8